Here is Sr2PbBr6 after structural relaxation from the Alexandria database. Energies are from GGA-PBE.

The structure in extended XYZ format:
```
18
Lattice="-2.788 4.404 4.904 0.662 -5.111 4.965 12.872 4.688 3.109" Properties=species:S:1:pos:R:3 pbc="T T T"
Br 2.819 1.073 7.905
Br -1.482 -0.493 6.877
Br 8.622 6.450 7.509
Br 7.095 2.630 8.938
Br 2.124 -2.470 5.470
Br 0.025 3.320 5.433
Br -0.645 -0.215 2.993
Br 10.721 0.660 7.546
Br 3.651 1.350 4.041
Br 4.327 4.875 6.471
Br 6.419 -0.895 6.508
Br 7.927 2.907 5.074
Sr 1.086 0.429 5.454
Sr 9.660 3.551 7.525
Sr 8.586 3.127 2.074
Sr 4.287 1.561 1.035
Pb 0.000 0.000 0.000
Pb 5.373 1.990 6.489
```

## Properties
- M_tot (μB/f.u.) = 0.0
- ΔE_f (raw) (eV per atom) = -1.708
- mass density (Mg/m³) = 3.98
- relative energy among the computed polymorphs (eV/atom) = 0.007
- symmetry = P4_2/mnm, No. 136